YAgTe3: single point on PBEsol structure, meta-GGA SCAN.

Cell: 5.307 5.307 5.307 Å, 90.00 90.00 90.00°
Fractional coordinates of all 5 atoms:
Y 0.000 0.000 0.000
Ag 0.500 0.500 0.500
Te 0.000 0.500 0.500
Te 0.500 0.000 0.500
Te 0.500 0.500 0.000

Calculated values
Spin magnetization, μB per formula unit: 0.00
Raw formation energy, meV/atom: -127.9

---

Y2AgTe: single point on PBEsol structure, meta-GGA SCAN.

Cell: 5.364 5.364 5.364 Å, 126.68 125.85 79.46°
Fractional coordinates of all 4 atoms:
Y 0.250 0.250 0.000
Y 0.750 0.750 0.000
Ag 0.500 0.000 0.500
Te 0.000 0.500 0.500

Calculated values
Spin magnetization, μB per formula unit: 1.26
Raw formation energy, meV/atom: -673.9

---

ZnAgTe2: single point on PBEsol structure, meta-GGA SCAN.

Cell: 7.420 7.420 7.420 Å, 130.69 130.69 72.31°
Fractional coordinates of all 8 atoms:
Zn 0.000 0.000 0.000
Zn 0.750 0.250 0.500
Ag 0.250 0.750 0.500
Ag 0.500 0.500 0.000
Te 0.113 0.625 0.988
Te 0.375 0.363 0.488
Te 0.637 0.125 0.012
Te 0.875 0.887 0.512

Calculated values
Energy above the most stable polymorph in this dataset, meV per atom: 0
Spin magnetization, μB per formula unit: 0.00
Raw formation energy, meV/atom: -181.6

---

ZnAgTe2: single point on PBEsol structure, meta-GGA SCAN.

Cell: 5.045 5.045 4.415 Å, 107.13 107.13 103.80°
Fractional coordinates of all 4 atoms:
Zn 0.000 0.000 0.000
Ag 0.500 0.500 0.000
Te 0.000 0.500 0.500
Te 0.500 0.000 0.500

Calculated values
Energy above the most stable polymorph in this dataset, meV per atom: 209
Spin magnetization, μB per formula unit: 0.00
Raw formation energy, meV/atom: 27.4

---

ZnAgTe2: single point on PBEsol structure, meta-GGA SCAN.

Cell: 4.992 4.992 4.992 Å, 60.00 60.00 60.00°
Fractional coordinates of all 4 atoms:
Zn 0.000 0.000 0.000
Ag 0.500 0.500 0.500
Te 0.250 0.250 0.250
Te 0.750 0.750 0.750

Calculated values
Energy above the most stable polymorph in this dataset, meV per atom: 494
Spin magnetization, μB per formula unit: 0.00
Raw formation energy, meV/atom: 312.2

---

ZnAgTe2: single point on PBEsol structure, meta-GGA SCAN.

Cell: 6.762 6.762 6.762 Å, 146.13 146.13 48.66°
Fractional coordinates of all 4 atoms:
Zn 0.000 0.000 0.000
Ag 0.750 0.250 0.500
Te 0.250 0.750 0.500
Te 0.500 0.500 0.000

Calculated values
Energy above the most stable polymorph in this dataset, meV per atom: 344
Spin magnetization, μB per formula unit: 0.00
Raw formation energy, meV/atom: 162.1